(1)
The following is a DFT calculation (PBE) of a relaxed NaUIn crystal.

For the magnetic moment, the calculation gives 13.4 μB per cell. The offset from the most stable computed form is 305 meV/atom. The total energy comes out at -0.1436 Ha/atom.

Cell: 7.334 7.334 7.334 Å, 90.00 90.00 90.00°
Space group F-43m (No. 216)
Inequivalent atoms, fractional coordinates:
Na 0.000 0.000 0.000 (multiplicity 4)
U 0.250 0.250 0.750 (multiplicity 4)
In 0.000 0.000 0.500 (multiplicity 4)



(2)
The following is a DFT calculation (PBE) of a relaxed SmTlAsO crystal.

For the magnetic moment, the calculation gives 0.3 μB per cell. The offset from the most stable computed form is 0 meV/atom. The total energy comes out at -0.2051 Ha/atom.

Cell: 4.257 4.257 9.726 Å, 90.00 90.00 90.00°
Space group P4/nmm (No. 129, origin choice 2)
Inequivalent atoms, fractional coordinates:
Sm 0.250 0.250 0.106 (multiplicity 2)
Tl 0.250 0.750 0.500 (multiplicity 2)
As 0.250 0.250 0.722 (multiplicity 2)
O 0.250 0.750 0.000 (multiplicity 2)



(3)
The following is a DFT calculation (PBE) of a relaxed LaAgO3 crystal.

For the magnetic moment, the calculation gives 0.0 μB per cell. The total energy comes out at -0.2215 Ha/atom.

Cell: 5.8850 5.8850 14.7902 Å, 90.00 90.00 120.00°
Space group R-3 (No. 148, hexagonal axes)
Inequivalent atoms, fractional coordinates:
La 0.0000 0.0000 0.1275 (multiplicity 6)
Ag 0.0000 0.0000 0.3501 (multiplicity 6)
O 0.0258 0.7243 0.2537 (multiplicity 18)